DFT (PBE) results for V3ZnI after structural relaxation.

a = 4.7700 Å, b = 4.7700 Å, c = 4.7700 Å
α = 90.00°, β = 90.00°, γ = 90.00°
Closest atoms and distances in Å follow each position.
Atoms (fractional coordinates):
1 I 0.5000 0.5000 0.5000  12 V 3.37
2 Zn 0.0000 0.0000 0.0000  6 V 2.38
3 V 0.0000 0.5000 0.0000  2 Zn 2.38
4 V 0.0000 0.0000 0.5000  2 Zn 2.38
5 V 0.5000 0.0000 0.0000  2 Zn 2.38

Summary:
- V (Å³ per atom) = 21.71
- distance to the lowest polymorph of the same formula (meV/atom) = 0
- crystal system = cubic
- magnetic moment (μB per cell) = 8.12
- uncorrected formation energy (kcal/mol of atoms) = 28.39